[1]
MnCrFe: single point on PBEsol structure, SCAN.

a = 2.8296 Å, b = 2.8296 Å, c = 4.5712 Å
α = 108.03°, β = 108.03°, γ = 90.00°
With the nearest neighbours (Å) after each atom.
Fractional coordinates of all 3 atoms:
Fe1 0.6633 0.6633 0.3266  4 Cr 2.42, 5 Mn 2.46-2.67
Mn1 0.3383 0.3383 0.6765  4 Cr 2.40, 5 Fe 2.46-2.67
Cr1 0.9984 0.9984 0.9968  4 Mn 2.40, 4 Fe 2.42

Summary:
Its space-group type is I4mm (107). Its formation energy is -0.0280 eV/atom. The uncorrected energy is -18.284 eV/atom. For the calculated density, the calculation gives 8.214 g/cm³. For the excess energy over the best structure of this formula in the dataset, the calculation gives 0 meV/atom.


[2]
Ba4Nd2Cu2O9: single point on PBEsol structure, SCAN.

a = 3.8574 Å, b = 11.9118 Å, c = 11.9118 Å
α = 90.00°, β = 90.00°, γ = 90.00°
With the nearest neighbours (Å) after each atom.
Fractional coordinates of all 34 atoms:
Nd1 0.7500 0.1101 0.3899  7 O 2.27-2.49
O1 0.7500 0.9063 0.4063  2 Cu 1.93
O2 0.0000 0.5000 0.5000  4 Ba 2.62
O3 0.7500 0.2448 0.2552  1 Nd 2.27
Cu1 0.7500 0.4003 0.0997  4 O 1.93-1.97
O4 0.7500 0.7552 0.7448  1 Nd 2.27
Nd2 0.7500 0.8899 0.6101  7 O 2.27-2.49
Ba1 0.2580 0.8288 0.8869  7 O 2.62-2.91
Cu2 0.2500 0.9003 0.4003  4 O 1.93-1.97
Nd3 0.2500 0.6101 0.1101  7 O 2.27-2.49
O5 0.2500 0.4063 0.0937  2 Cu 1.93
Cu3 0.2500 0.0997 0.5997  4 O 1.93-1.97
Cu4 0.7500 0.5997 0.9003  4 O 1.93-1.97
O6 0.2506 0.7900 0.5230  1 Cu 1.97
Nd4 0.2500 0.3899 0.8899  7 O 2.27-2.49
O7 0.5000 0.0000 0.0000  4 Ba 2.62
O8 0.7500 0.0937 0.5937  2 Cu 1.93
O9 0.2494 0.0230 0.2900  1 Cu 1.97
Ba2 0.7580 0.6712 0.3869  7 O 2.62-2.91
Ba3 0.7420 0.8869 0.1712  7 O 2.62-2.91
O10 0.7506 0.2900 0.9770  1 Cu 1.97
O11 0.7494 0.4770 0.7900  1 Cu 1.97
O12 0.2494 0.9770 0.7100  1 Cu 1.97
O13 0.7494 0.5230 0.2100  1 Cu 1.97
Ba4 0.2420 0.3869 0.3288  7 O 2.62-2.91
O14 0.2500 0.7448 0.2448  1 Nd 2.27
O15 0.2500 0.2552 0.7552  1 Nd 2.27
Ba5 0.7580 0.3288 0.6131  7 O 2.62-2.91
O16 0.2500 0.5937 0.9063  2 Cu 1.93
Ba6 0.2420 0.6131 0.6712  7 O 2.62-2.91
O17 0.7506 0.7100 0.0230  1 Cu 1.97
O18 0.2506 0.2100 0.4770  1 Cu 1.97
Ba7 0.2580 0.1712 0.1131  7 O 2.62-2.91
Ba8 0.7420 0.1131 0.8288  7 O 2.62-2.91

Summary:
Its space-group type is P-4n2 (118). The uncorrected energy is -22.133 eV/atom. For the calculated density, the calculation gives 6.728 g/cm³. For the formation energy from raw total energies, the calculation gives -2.612 eV per atom.


[3]
MoIrRu2: single point on PBEsol structure, SCAN.

a = 3.8070 Å, b = 3.8228 Å, c = 3.8228 Å
α = 90.00°, β = 90.00°, γ = 90.00°
With the nearest neighbours (Å) after each atom.
Fractional coordinates of all 4 atoms:
Ru1 0.0000 0.0000 0.5000  4 Mo 2.70, 4 Ir 2.70, 4 Ru 2.70
Ru2 0.0000 0.5000 0.0000  4 Mo 2.70, 4 Ir 2.70, 4 Ru 2.70
Ir1 0.5000 0.5000 0.5000  8 Ru 2.70, 4 Mo 2.70
Mo1 0.5000 0.0000 0.0000  8 Ru 2.70, 4 Ir 2.70

Summary:
Its space-group type is P4/mmm (123). Its formation energy is -0.1867 eV/atom. The uncorrected energy is -44.096 eV/atom. For the calculated density, the calculation gives 14.634 g/cm³. For the excess energy over the best structure of this formula in the dataset, the calculation gives 16 meV/atom.


[4]
CoCu2Si: single point on PBEsol structure, SCAN.

a = 2.5634 Å, b = 2.5634 Å, c = 8.2123 Å
α = 81.02°, β = 81.02°, γ = 60.00°
With the nearest neighbours (Å) after each atom.
Fractional coordinates of all 4 atoms:
Cu1 0.7505 0.7505 0.7484  3 Si 2.49, 3 Co 2.51, 6 Cu 2.56
Cu2 0.2495 0.2495 0.2516  3 Si 2.49, 3 Co 2.51, 6 Cu 2.56
Co1 0.0000 0.0000 0.0000  6 Cu 2.51, 6 Co 2.56
Si1 0.5000 0.5000 0.5000  6 Cu 2.49, 6 Si 2.56

Summary:
Its space-group type is R-3m (166). The uncorrected energy is -14.286 eV/atom. For the calculated density, the calculation gives 7.735 g/cm³. For the formation energy from raw total energies, the calculation gives 0.143 eV per atom.


[5]
Hg2PbBr: single point on PBEsol structure, SCAN.

a = 4.6818 Å, b = 4.6818 Å, c = 5.8332 Å
α = 113.66°, β = 113.66°, γ = 90.00°
With the nearest neighbours (Å) after each atom.
Fractional coordinates of all 4 atoms:
Hg1 0.0000 0.0000 0.0000  4 Pb 3.31, 4 Hg 3.35, 4 Br 3.35
Pb1 0.5000 0.5000 0.0000  8 Hg 3.31-3.35, 4 Br 3.35
Br1 0.2500 0.7500 0.5000  8 Hg 3.31-3.35, 4 Pb 3.35
Hg2 0.7500 0.2500 0.5000  4 Br 3.31, 4 Hg 3.35, 4 Pb 3.35

Summary:
Its space-group type is I-4m2 (119). The uncorrected energy is -58.038 eV/atom. For the calculated density, the calculation gives 10.857 g/cm³. For the excess energy over the best structure of this formula in the dataset, the calculation gives 0 meV/atom. For the formation energy from raw total energies, the calculation gives -0.145 eV per atom.


[6]
Ti3MnCu2P6O24: single point on PBEsol structure, SCAN.

a = 8.5409 Å, b = 8.5409 Å, c = 8.4668 Å
α = 59.71°, β = 59.71°, γ = 60.00°
With the nearest neighbours (Å) after each atom.
Fractional coordinates of all 36 atoms:
O1 0.1219 0.3097 0.0699  1 P 1.54
P1 0.5436 0.9590 0.2521  4 O 1.53-1.55
O2 0.0017 0.8123 0.5628  1 P 1.52
O3 0.6232 0.0017 0.5628  1 P 1.52
P2 0.4640 0.0390 0.7473  4 O 1.52-1.55
P3 0.2452 0.5436 0.2521  4 O 1.53-1.55
O4 0.4104 0.5589 0.2661  1 P 1.55
Mn1 0.8590 0.8590 0.4229  6 O 1.88-1.97
O5 0.0537 0.9137 0.7651  1 P 1.55
Cu1 0.4996 0.4996 0.5011  6 O 2.22
O6 0.9137 0.2676 0.7651  1 P 1.55
O7 0.6852 0.5058 0.9314  1 P 1.54
O8 0.8123 0.6232 0.5628  1 P 1.52
O9 0.0024 0.1851 0.4338  1 P 1.53
Ti1 0.6401 0.6401 0.0796  6 O 1.89-1.99
O10 0.2676 0.0537 0.7651  1 P 1.55
O11 0.9469 0.0808 0.2340  1 P 1.55
O12 0.5058 0.8776 0.9314  1 P 1.54
Cu2 0.0017 0.0017 0.9949  6 O 2.20-2.21
O13 0.8776 0.6852 0.9314  1 P 1.54
O14 0.4437 0.2342 0.7370  1 P 1.55
O15 0.5589 0.7645 0.2661  1 P 1.55
P4 0.7497 0.4640 0.7473  4 O 1.52-1.55
Ti2 0.3589 0.3589 0.9234  6 O 1.90-1.98
Ti3 0.1401 0.1401 0.5797  6 O 1.90-1.99
O16 0.3097 0.4986 0.0699  1 P 1.54
O17 0.5851 0.4437 0.7370  1 P 1.55
P5 0.0390 0.7497 0.7473  4 O 1.52-1.55
O18 0.7384 0.9469 0.2340  1 P 1.55
O19 0.3787 0.0024 0.4338  1 P 1.53
O20 0.1851 0.3787 0.4338  1 P 1.53
O21 0.2342 0.5851 0.7370  1 P 1.55
O22 0.0808 0.7384 0.2340  1 P 1.55
P6 0.9590 0.2452 0.2521  4 O 1.53-1.55
O23 0.4986 0.1219 0.0699  1 P 1.54
O24 0.7645 0.4104 0.2661  1 P 1.55

Summary:
Its space-group type is R3 (146). The uncorrected energy is -11.057 eV/atom. For the calculated density, the calculation gives 3.420 g/cm³. For the formation energy from raw total energies, the calculation gives -2.483 eV per atom.


[7]
In2OsW: single point on PBEsol structure, SCAN.

a = 2.9440 Å, b = 4.6116 Å, c = 5.1399 Å
α = 90.00°, β = 94.93°, γ = 90.00°
With the nearest neighbours (Å) after each atom.
Fractional coordinates of all 4 atoms:
In1 0.2856 0.0000 0.2458  2 Os 2.73, 5 In 2.80-2.94, 2 W 2.81
Os1 0.5000 0.5000 0.0000  4 In 2.73, 2 W 2.85, 2 Os 2.94
In2 0.7144 0.0000 0.7542  2 Os 2.73, 5 In 2.80-2.94, 2 W 2.81
W1 0.0000 0.5000 0.5000  4 In 2.81, 4 Os 2.85-3.07, 2 W 2.94

Summary:
Its space-group type is P2/m (10). Its formation energy is 0.7402 eV/atom. The uncorrected energy is -51.345 eV/atom. For the calculated density, the calculation gives 14.419 g/cm³. For the excess energy over the best structure of this formula in the dataset, the calculation gives 204 meV/atom.


[8]
RbBaP2Cl: single point on PBEsol structure, SCAN.

a = 5.8987 Å, b = 6.2070 Å, c = 6.2070 Å
α = 90.00°, β = 90.00°, γ = 90.00°
With the nearest neighbours (Å) after each atom.
Fractional coordinates of all 5 atoms:
P1 0.0000 0.5000 0.0000  2 Ba 3.10
Rb1 0.5000 0.5000 0.5000  8 P 4.28, 4 Cl 4.39
P2 0.0000 0.0000 0.5000  2 Ba 3.10
Ba1 0.0000 0.0000 0.0000  2 Cl 2.95, 4 P 3.10
Cl1 0.5000 0.0000 0.0000  2 Ba 2.95

Summary:
Its space-group type is P4/mmm (123). The uncorrected energy is -18.132 eV/atom. For the calculated density, the calculation gives 2.340 g/cm³. For the formation energy from raw total energies, the calculation gives -0.319 eV per atom.